Record 1
Tb6Ti4Al43: PBEsol geometry, meta-GGA SCAN.

- total energy (eV for the cell shown) = -1394.32
- formation energy (meV/atom) = -361

Cell and atoms, written as CIF:
```
data_Tb6Ti4Al43
_space_group_name_H-M_alt 'P 63/m c m'
_space_group_IT_number 193
_space_group_name_Hall '-P 6c 2'
_cell_length_a 10.9819
_cell_length_b 10.9819
_cell_length_c 17.7430
_cell_angle_alpha 90.00
_cell_angle_beta 90.00
_cell_angle_gamma 120.00
loop_
_atom_site_label
_atom_site_fract_x
_atom_site_fract_y
_atom_site_fract_z
Tb1 0.0000 0.4713 0.0960
Ti1 0.0000 0.0000 0.0000
Ti2 0.0000 0.2721 0.2500
Al1 0.0000 0.1469 0.7500
Al2 0.0000 0.1560 0.1165
Al3 0.0000 0.2527 0.5288
Al4 0.1494 0.5532 0.2500
Al5 0.1593 0.3933 0.6636
Al6 0.2474 0.4947 0.0000
Al7 0.3333 0.6667 0.1257
```

---

Record 2
Tb6Al39V8: PBEsol geometry, meta-GGA SCAN.

- total energy (eV for the cell shown) = -1483.77
- formation energy (meV/atom) = -360

Cell and atoms, written as CIF:
```
data_Tb6Al39V8
_space_group_name_H-M_alt 'P 63/m c m'
_space_group_IT_number 193
_space_group_name_Hall '-P 6c 2'
_cell_length_a 10.9193
_cell_length_b 10.9193
_cell_length_c 17.3603
_cell_angle_alpha 90.00
_cell_angle_beta 90.00
_cell_angle_gamma 120.00
loop_
_atom_site_label
_atom_site_fract_x
_atom_site_fract_y
_atom_site_fract_z
Tb1 0.0000 0.4654 0.0992
Al1 0.0000 0.1526 0.1175
Al2 0.0000 0.1530 0.7500
Al3 0.0000 0.2499 0.5282
Al4 0.1549 0.5512 0.2500
Al5 0.1632 0.3967 0.6613
Al6 0.2504 0.5007 0.0000
V1 0.0000 0.0000 0.0000
V2 0.0000 0.2641 0.2500
V3 0.3333 0.6667 0.1297
```

---

Record 3
Al3Tc: PBEsol geometry, meta-GGA SCAN.

- total energy (eV for the cell shown) = -119.98
- formation energy (meV/atom) = -418

Cell and atoms, written as CIF:
```
data_Al3Tc
_space_group_name_H-M_alt 'I m m m'
_space_group_IT_number 71
_space_group_name_Hall '-I 2 2'
_cell_length_a 3.327
_cell_length_b 4.153
_cell_length_c 8.270
_cell_angle_alpha 90.00
_cell_angle_beta 90.00
_cell_angle_gamma 90.00
loop_
_atom_site_label
_atom_site_fract_x
_atom_site_fract_y
_atom_site_fract_z
Al1 0.000 0.000 0.000
Al2 0.000 0.500 0.244
Tc1 0.000 0.000 0.500
```